No. 1
GGA-PBE MnCdAu2S, relaxed; ΔE_f (raw) = 1.2 eV/f.u.; space group = P4/mmm (123); total moment = 2.9 μB per formula unit
1.0
-3.451 3.433 -1.374
-3.000 -2.252 1.907
0.821 2.544 4.294
Mn Cd Au S
1 1 2 1
Direct
0.000 0.000 0.000
0.500 0.500 0.500
0.500 0.000 0.000
0.000 0.000 0.500
0.000 0.500 0.000

No. 2
GGA-PBE MnCdSbAu2, relaxed; ΔE_f (raw) = 4.0 eV/f.u.; space group = P4/mmm (123); total moment = 4.1 μB per formula unit
1.0
-4.354 1.591 2.116
0.628 -3.287 3.763
2.570 3.518 2.644
Au Mn Sb Cd
2 1 1 1
Direct
0.500 0.000 0.000
0.000 0.000 0.500
0.000 0.500 0.000
0.500 0.500 0.500
0.000 0.000 0.000

No. 3
GGA-PBE MnCdSb2Au, relaxed; ΔE_f (raw) = 5.0 eV/f.u.; space group = P4/mmm (123); total moment = 4.3 μB per formula unit
1.0
-2.604 -0.565 -4.728
-4.301 -0.951 2.483
-1.167 5.300 0.009
Cd Mn Au Sb
1 1 1 2
Direct
0.000 0.000 0.000
0.000 0.500 0.000
0.500 0.500 0.500
0.500 0.000 0.000
0.000 0.000 0.500

No. 4
GGA-PBE Mn2CdSiAu, relaxed; ΔE_f (raw) = 4.8 eV/f.u.; space group = P4/mmm (123); total moment = 8.4 μB per formula unit
1.0
4.957 0.000 0.000
0.000 5.129 0.000
0.000 0.000 4.957
Mn Au Si Cd
2 1 1 1
Direct
0.000 0.000 0.500
0.500 0.000 0.000
0.000 0.000 0.000
0.500 0.500 0.500
0.000 0.500 0.000

No. 5
GGA-PBE TaMn2CdAu, relaxed; E_form = 1.30 eV per atom; space group = P4/mmm (123); total moment = 4.8 μB per formula unit
1.0
4.600 0.000 0.000
0.000 5.371 0.000
0.000 0.000 4.600
Mn Cd Au Ta
2 1 1 1
Direct
0.500 0.000 0.000
0.000 0.000 0.500
0.000 0.500 0.000
0.500 0.500 0.500
0.000 0.000 0.000

No. 6
GGA-PBE Mn2CdTeAu, relaxed; ΔE_f (raw) = 4.4 eV/f.u.; space group = P4/mmm (123); total moment = 7.8 μB per formula unit
1.0
-0.485 4.852 0.886
-4.686 -0.176 -1.602
-1.746 -1.129 5.231
Mn Au Te Cd
2 1 1 1
Direct
0.500 0.000 0.000
0.000 0.500 0.000
0.500 0.500 0.500
0.000 0.000 0.000
0.000 0.000 0.500